--- i ---
! Ho6ZrSc2 (GGA-PBE, relaxed); values from VASP
&SYSTEM
  ibrav = 0, nat = 9, ntyp = 3
/
ATOMIC_SPECIES
Ho 164.93 Ho.upf
Zr 91.22 Zr.upf
Sc 44.96 Sc.upf
ATOMIC_POSITIONS crystal
Ho 0.0005 0.4839 0.3293
Ho 0.9995 0.1546 0.6707
Ho 0.9995 0.5161 0.6707
Ho 0.5000 0.3083 0.0000
Ho 0.0005 0.8454 0.3293
Ho 0.5000 0.6918 0.0000
Zr 0.0000 0.0000 0.0000
Sc 0.4998 0.8274 0.6549
Sc 0.5002 0.1726 0.3451
CELL_PARAMETERS angstrom
3.4536 0.1780 -0.4015
-0.8577 7.8284 -3.9068
1.1022 -0.0973 9.4539
! - crystal system = orthorhombic

=====

--- ii ---
! Ho6ZrSc2 (GGA-PBE, relaxed); values from VASP
&SYSTEM
  ibrav = 0, nat = 9, ntyp = 3
/
ATOMIC_SPECIES
Ho 164.93 Ho.upf
Zr 91.22 Zr.upf
Sc 44.96 Sc.upf
ATOMIC_POSITIONS crystal
Ho 0.7709 0.2646 0.7001
Ho 0.2643 0.7709 0.7001
Ho 0.2646 0.2643 0.7001
Ho 0.0488 0.6144 0.2884
Ho 0.0485 0.0488 0.2884
Ho 0.6144 0.0485 0.2884
Zr 0.3140 0.3140 0.0581
Sc 0.7564 0.7564 0.7307
Sc 0.5838 0.5838 0.2486
CELL_PARAMETERS angstrom
7.1467 0.0000 0.0000
3.5734 6.1892 0.0000
3.5734 2.0631 6.1689
! - crystal system = trigonal

=====

Referenced to the most stable arrangement, the calculated values in eV/atom are i 0.000; ii 0.215.